Entry 1:
LaNd4Cu PBE relaxed; formation energy from the elements = -27 meV/atom; size of the total moment = 0.0 μB/cell
1.0
3.666 0.000 0.000
0.000 3.666 0.000
0.000 0.000 14.085
La Nd Cu
1 4 1
Direct
0.000 0.000 0.000
0.000 0.000 0.378
0.000 0.000 0.622
0.500 0.500 0.187
0.500 0.500 0.813
0.500 0.500 0.500

***

Entry 2:
Y2ZrTa PBE relaxed; formation energy from the elements = 340 meV/atom; size of the total moment = 0.0 μB/cell; E above lowest polymorph = 0.176 eV per atom
1.0
3.156 0.000 0.000
0.000 3.156 0.000
0.000 0.000 10.045
Y Zr Ta
2 1 1
Direct
0.000 0.000 0.233
0.000 0.000 0.767
0.500 0.500 0.500
0.500 0.500 0.000

***

Entry 3:
BaCe4Cu3O12 PBE relaxed; energy relative to the elements, uncorrected = -2.38 eV/atom; size of the total moment = 3.0 μB/cell
1.0
-4.140 4.140 4.140
4.140 -4.140 4.140
4.140 4.140 -4.140
Ba Ce Cu O
1 4 3 12
Direct
0.000 0.000 0.000
0.000 0.000 0.500
0.000 0.500 0.000
0.500 0.000 0.000
0.500 0.500 0.500
0.000 0.500 0.500
0.500 0.000 0.500
0.500 0.500 0.000
0.159 0.318 0.477
0.159 0.682 0.841
0.159 0.841 0.318
0.318 0.159 0.841
0.318 0.477 0.159
0.477 0.159 0.318
0.523 0.841 0.682
0.682 0.523 0.841
0.682 0.841 0.159
0.841 0.159 0.682
0.841 0.318 0.159
0.841 0.682 0.523

***

Calculated calculated total energy, -28.3 -32.0 -145.0 eV/f.u. (same order as the records).